(1)
# Rb2TlAu

A relaxed structure of Rb2TlAu (PBE, the Alexandria database).

The structure in extended XYZ format:
```
4
Lattice="5.0846 0.0000 0.0000 0.0000 4.9367 -1.9918 0.0000 -0.0473 6.9792" Properties=species:S:1:pos:R:3 pbc="T T T"
Rb 0.0000 0.0722 6.3888
Rb 2.5423 3.5765 0.8521
Tl 2.5423 2.0745 4.2351
Au 0.0000 1.5636 2.9844
```

## Properties
The energy above the most stable polymorph in this dataset comes out at 0.000 eV/atom. Its formation energy is -0.1715 eV per atom. The crystal system is monoclinic. Its final energy is -2.066 eV per atom. The density of states at the Fermi level is 0.56 states/eV/atom.

***

(2)
# CaEuMgRh

A relaxed structure of CaEuMgRh (PBE, the Alexandria database).

The structure in extended XYZ format:
```
4
Lattice="5.1886 0.0000 0.0000 2.5943 4.4935 0.0000 2.5943 1.4978 4.2365" Properties=species:S:1:pos:R:3 pbc="T T T"
Eu 0.0000 0.0000 0.0000
Ca 5.1886 2.9957 2.1183
Rh 2.5943 1.4978 1.0591
Mg 7.7830 4.4935 3.1774
```

## Properties
Its formation energy is -0.1655 eV per atom. The crystal system is cubic. Its final energy is -5.471 eV per atom. The density of states at the Fermi level is 1.34 states/eV/atom.

***

Repeat the first record exactly.
# Rb2TlAu

A relaxed structure of Rb2TlAu (PBE, the Alexandria database).

The structure in extended XYZ format:
```
4
Lattice="5.0846 0.0000 0.0000 0.0000 4.9367 -1.9918 0.0000 -0.0473 6.9792" Properties=species:S:1:pos:R:3 pbc="T T T"
Rb 0.0000 0.0722 6.3888
Rb 2.5423 3.5765 0.8521
Tl 2.5423 2.0745 4.2351
Au 0.0000 1.5636 2.9844
```

## Properties
The energy above the most stable polymorph in this dataset comes out at 0.000 eV/atom. Its formation energy is -0.1715 eV per atom. The crystal system is monoclinic. Its final energy is -2.066 eV per atom. The density of states at the Fermi level is 0.56 states/eV/atom.

***

Q: final energy of number 1 (Rb2TlAu)?
A: -2.066 eV per atom